A relaxed structure of ScAgAs2Ir. Source: the Alexandria database, functional PBE-GGA.

Cell lengths 5.001, 4.829, 5.001 Å; angles 90.00, 90.00, 90.00 degrees
Fractional coordinates of all 5 atoms:
Sc1 0.000 0.000 0.000
As1 0.000 0.000 0.500
As2 0.500 0.000 0.000
Ir1 0.000 0.500 0.000
Ag1 0.500 0.500 0.500

Computed properties:
Energy relative to the elements (eV per atom): 0.7829
Final energy (eV per atom): -4.69

---

A relaxed structure of Tb3ZnNi8. Source: the Alexandria database, functional PBE-GGA.

Cell lengths 4.987, 4.987, 8.674 Å; angles 73.29, 73.29, 60.00 degrees
Fractional coordinates of all 12 atoms:
Tb1 0.377 0.377 0.868
Tb2 0.991 0.991 0.026
Tb3 0.506 0.506 0.481
Zn1 0.870 0.870 0.390
Ni1 0.940 0.435 0.189
Ni2 0.441 0.938 0.683
Ni3 0.435 0.435 0.189
Ni4 0.938 0.938 0.683
Ni5 0.188 0.188 0.435
Ni6 0.688 0.688 0.936
Ni7 0.435 0.940 0.189
Ni8 0.938 0.441 0.683

Computed properties:
Energy relative to the elements (eV per atom): -0.4117
Final energy (eV per atom): -5.53